## Zr12Pt3N5 (PBE)

Data for a relaxed Zr12Pt3N5 crystal.

Computed properties:
E_tot = -9.1192 eV/atom
formation energy from raw total energies = -23.13 kcal/mol of atoms
DOS at the Fermi energy = 135.90 states/eV/cell

Cell: 14.3461 14.3461 14.3461 Å, 90.00 90.00 90.00°
With the nearest neighbours (Å) after each atom.
Space group Ia-3d (No. 230)
Symmetry-distinct sites (fractional):
1 Zr 0.0363 0.0529 0.6469 [96 per cell]  2 N 2.09-2.30
2 Pt 0.0000 0.2500 0.1250 [24 per cell]  8 Zr 2.85-2.89
3 N 0.0000 0.0000 0.0000 [16 per cell]  6 Zr 2.30
4 N 0.0000 0.2500 0.3750 [24 per cell]  4 Zr 2.09